A relaxed structure of CrBrO, computed with PBE+U.

Structure (CIF):
```
data_CrBrO
_chemical_formula_sum 'Cr2 Br2 O2'
_space_group_name_H-M_alt 'P 1 21/m 1'
_space_group_IT_number 11
_space_group_name_Hall '-P 2yb'
_cell_length_a 3.9412
_cell_length_b 3.3508
_cell_length_c 9.5451
_cell_angle_alpha 90.00
_cell_angle_beta 101.86
_cell_angle_gamma 90.00
loop_
_atom_site_label
_atom_site_type_symbol
_atom_site_fract_x
_atom_site_fract_y
_atom_site_fract_z
_atom_site_occupancy
Cr1 Cr 0.2051 0.2500 0.4097 1
Br1 Br 0.1059 0.7500 0.2091 1
O1 O 0.2713 0.7500 0.5427 1
```

Size of the total moment in μB per cell: 6.0
Fermi-level density of states in states/eV/f.u.: 0.000
Energy in eV/atom: -6.1274